Entry 1:
A plane-wave DFT calculation with PBE was carried out for a relaxed Zn6Ni2Rh crystal.

E_tot, eV/atom: -3.14

Cell: 4.194 4.194 7.918 Å, 90.00 90.00 120.00°
Sites, in units of the cell vectors:
Zn 0.000 0.000 0.181
Zn 0.000 0.000 0.819
Zn 0.333 0.667 0.059
Zn 0.333 0.667 0.394
Zn 0.667 0.333 0.606
Zn 0.667 0.333 0.941
Ni 0.333 0.667 0.732
Ni 0.667 0.333 0.268
Rh 0.000 0.000 0.500

=====

Entry 2:
A plane-wave DFT calculation with PBE was carried out for a relaxed Zn2NiRh crystal.

E_tot, eV/atom: -4.26

Cell: 4.134 4.134 3.059 Å, 90.00 90.00 90.00°
Sites, in units of the cell vectors:
Zn 0.000 0.500 0.000
Zn 0.500 0.000 0.000
Ni 0.000 0.000 0.500
Rh 0.500 0.500 0.500

=====

Entry 3:
A plane-wave DFT calculation with PBE was carried out for a relaxed ZnNi6Rh3 crystal.

E_tot, eV/atom: -5.62

Cell: 6.161 6.161 6.832 Å, 90.00 90.00 88.77°
Sites, in units of the cell vectors:
Zn 0.135 0.865 0.500
Zn 0.865 0.135 0.000
Ni 0.022 0.443 0.766
Ni 0.088 0.189 0.297
Ni 0.189 0.088 0.797
Ni 0.340 0.660 0.746
Ni 0.379 0.621 0.345
Ni 0.443 0.022 0.266
Ni 0.557 0.978 0.766
Ni 0.621 0.379 0.845
Ni 0.660 0.340 0.246
Ni 0.811 0.912 0.297
Ni 0.912 0.811 0.797
Ni 0.978 0.557 0.266
Rh 0.175 0.825 0.075
Rh 0.288 0.391 0.047
Rh 0.391 0.288 0.547
Rh 0.609 0.712 0.047
Rh 0.712 0.609 0.547
Rh 0.825 0.175 0.575

=====

Entry 4:
A plane-wave DFT calculation with PBE was carried out for a relaxed ZnNi2Rh6 crystal.

E_tot, eV/atom: -6.35

Cell: 6.369 6.369 9.114 Å, 103.46 103.46 43.01°
Sites, in units of the cell vectors:
Zn 0.082 0.918 0.750
Zn 0.918 0.082 0.250
Ni 0.140 0.305 0.802
Ni 0.305 0.140 0.302
Ni 0.695 0.860 0.698
Ni 0.860 0.695 0.198
Rh 0.024 0.202 0.026
Rh 0.202 0.024 0.526
Rh 0.247 0.415 0.584
Rh 0.357 0.526 0.360
Rh 0.415 0.247 0.084
Rh 0.474 0.643 0.140
Rh 0.526 0.357 0.860
Rh 0.585 0.753 0.916
Rh 0.643 0.474 0.640
Rh 0.753 0.585 0.416
Rh 0.798 0.976 0.474
Rh 0.976 0.798 0.974

=====

Entry 5:
A plane-wave DFT calculation with PBE was carried out for a relaxed ZnNi4Rh crystal.

E_tot, eV/atom: -5.26

Cell: 4.691 4.691 4.691 Å, 60.00 60.00 60.00°
Sites, in units of the cell vectors:
Zn 0.000 0.000 0.000
Ni 0.125 0.625 0.625
Ni 0.625 0.125 0.625
Ni 0.625 0.625 0.125
Ni 0.625 0.625 0.625
Rh 0.250 0.250 0.250

=====

Entry 6:
A plane-wave DFT calculation with PBE was carried out for a relaxed Zn2NiRh crystal.

E_tot, eV/atom: -4.13

Cell: 4.628 4.628 4.628 Å, 132.51 132.51 69.43°
Sites, in units of the cell vectors:
Zn 0.000 0.000 0.000
Zn 0.750 0.250 0.500
Ni 0.250 0.750 0.500
Rh 0.500 0.500 0.000

=====

Entry 7:
A plane-wave DFT calculation with PBE was carried out for a relaxed Zn5Ni4Rh crystal.

E_tot, eV/atom: -3.96

Cell: 2.968 2.968 14.147 Å, 90.00 90.00 90.00°
Sites, in units of the cell vectors:
Zn 0.000 0.000 0.000
Zn 0.000 0.000 0.195
Zn 0.000 0.000 0.392
Zn 0.000 0.000 0.608
Zn 0.000 0.000 0.805
Ni 0.500 0.500 0.098
Ni 0.500 0.500 0.292
Ni 0.500 0.500 0.708
Ni 0.500 0.500 0.902
Rh 0.500 0.500 0.500

=====

Entry 8:
A plane-wave DFT calculation with PBE was carried out for a relaxed Zn9NiRh2 crystal.

E_tot, eV/atom: -2.84

Cell: 4.809 5.858 6.147 Å, 83.92 84.59 85.14°
Sites, in units of the cell vectors:
Zn 0.000 0.000 0.000
Zn 0.009 0.346 0.673
Zn 0.249 0.906 0.576
Zn 0.262 0.265 0.244
Zn 0.498 0.193 0.821
Zn 0.502 0.807 0.179
Zn 0.738 0.735 0.756
Zn 0.751 0.094 0.424
Zn 0.991 0.654 0.327
Ni 0.500 0.500 0.500
Rh 0.244 0.611 0.911
Rh 0.756 0.389 0.089